A plane-wave DFT calculation with GGA+U was carried out for a relaxed structure of K2Zn2Mo3O12.

Cell: 7.0963 9.2616 20.8136 Å, 90.00 108.65 90.00°
With the nearest neighbours (Å) after each atom.
Element x y z (fractional)
1 K 0.1072 0.1121 0.2913  6 O 2.68-2.97
2 K 0.1072 0.3879 0.7913  6 O 2.68-2.97
3 K 0.2985 0.5170 0.0995  5 O 2.76-2.83
4 K 0.2985 0.9830 0.5995  5 O 2.76-2.83
5 K 0.7015 0.0170 0.4005  5 O 2.76-2.83
6 K 0.7015 0.4830 0.9005  5 O 2.76-2.83
7 K 0.8928 0.6121 0.2087  6 O 2.68-2.97
8 K 0.8928 0.8879 0.7087  6 O 2.68-2.97
9 Zn 0.2301 0.1326 0.1363  6 O 2.06-2.28
10 Zn 0.2301 0.3674 0.6363  6 O 2.06-2.28
11 Zn 0.4408 0.6016 0.5649  5 O 2.02-2.13
12 Zn 0.4408 0.8984 0.0649  5 O 2.02-2.13
13 Zn 0.5592 0.1016 0.9351  5 O 2.02-2.13
14 Zn 0.5592 0.3984 0.4351  5 O 2.02-2.13
15 Zn 0.7699 0.6326 0.3637  6 O 2.06-2.28
16 Zn 0.7699 0.8674 0.8637  6 O 2.06-2.28
17 Mo 0.0829 0.1682 0.9652  4 O 1.75-1.86
18 Mo 0.0829 0.3318 0.4652  4 O 1.75-1.86
19 Mo 0.2993 0.7153 0.3992  4 O 1.76-1.84
20 Mo 0.2993 0.7847 0.8992  4 O 1.76-1.84
21 Mo 0.4418 0.6868 0.7249  4 O 1.75-1.83
22 Mo 0.4418 0.8132 0.2249  4 O 1.75-1.83
23 Mo 0.5582 0.1868 0.7751  4 O 1.75-1.83
24 Mo 0.5582 0.3132 0.2751  4 O 1.75-1.83
25 Mo 0.7007 0.2153 0.1008  4 O 1.76-1.84
26 Mo 0.7007 0.2847 0.6008  4 O 1.76-1.84
27 Mo 0.9171 0.6682 0.5348  4 O 1.75-1.86
28 Mo 0.9171 0.8318 0.0348  4 O 1.75-1.86
29 O 0.0354 0.1851 0.4090  1 Mo 1.75
30 O 0.0354 0.3149 0.9090  1 Mo 1.75
31 O 0.0524 0.6515 0.3545  1 Mo 1.80
32 O 0.0524 0.8485 0.8545  1 Mo 1.80
33 O 0.1402 0.2469 0.5473  1 Mo 1.80
34 O 0.1402 0.2531 0.0473  1 Mo 1.80
35 O 0.1433 0.5533 0.5609  1 Mo 1.86
36 O 0.1433 0.9467 0.0609  1 Mo 1.86
37 O 0.2756 0.6772 0.2306  1 Mo 1.75
38 O 0.2756 0.8228 0.7306  1 Mo 1.75
39 O 0.2967 0.0728 0.9567  1 Mo 1.81
40 O 0.2967 0.4272 0.4567  1 Mo 1.81
41 O 0.3194 0.5133 0.7152  1 Mo 1.81
42 O 0.3194 0.9867 0.2152  1 Mo 1.81
43 O 0.3283 0.6142 0.8658  1 Mo 1.76
44 O 0.3283 0.8858 0.3658  1 Mo 1.76
45 O 0.3373 0.7460 0.4887  1 Mo 1.82, 1 Zn 2.02
46 O 0.3373 0.7540 0.9887  1 Mo 1.82, 1 Zn 2.02
47 O 0.3381 0.1935 0.7006  1 Mo 1.82
48 O 0.3381 0.3065 0.2006  1 Mo 1.82
49 O 0.4863 0.2277 0.8502  1 Mo 1.83, 1 Zn 2.04
50 O 0.4863 0.2723 0.3502  1 Mo 1.83, 1 Zn 2.04
51 O 0.4941 0.5966 0.3873  1 Mo 1.84
52 O 0.4941 0.9034 0.8873  1 Mo 1.84
53 O 0.5059 0.0966 0.1127  1 Mo 1.84
54 O 0.5059 0.4034 0.6127  1 Mo 1.84
55 O 0.5137 0.7277 0.6498  1 Mo 1.83, 1 Zn 2.04
56 O 0.5137 0.7723 0.1498  1 Mo 1.83, 1 Zn 2.04
57 O 0.6619 0.6935 0.7994  1 Mo 1.82
58 O 0.6619 0.8065 0.2994  1 Mo 1.82
59 O 0.6627 0.2460 0.0113  1 Mo 1.82, 1 Zn 2.02
60 O 0.6627 0.2540 0.5113  1 Mo 1.82, 1 Zn 2.02
61 O 0.6717 0.1142 0.6342  1 Mo 1.76
62 O 0.6717 0.3858 0.1342  1 Mo 1.76
63 O 0.6806 0.0133 0.7848  1 Mo 1.81
64 O 0.6806 0.4867 0.2848  1 Mo 1.81
65 O 0.7033 0.5728 0.5433  1 Mo 1.81
66 O 0.7033 0.9272 0.0433  1 Mo 1.81
67 O 0.7244 0.1772 0.2694  1 Mo 1.75
68 O 0.7244 0.3228 0.7694  1 Mo 1.75
69 O 0.8567 0.0533 0.9391  1 Mo 1.86
70 O 0.8567 0.4467 0.4391  1 Mo 1.86
71 O 0.8598 0.7469 0.9527  1 Mo 1.80
72 O 0.8598 0.7531 0.4527  1 Mo 1.80
73 O 0.9476 0.1515 0.1455  1 Mo 1.80
74 O 0.9476 0.3485 0.6455  1 Mo 1.80
75 O 0.9646 0.6851 0.0910  1 Mo 1.75
76 O 0.9646 0.8149 0.5910  1 Mo 1.75

Calculated values
symmetry	No. 14
electronic total energy	-0.228	hartree per atom
V	324.03	Å³/f.u.